Record 1
Crystalline La8Pr2Dy3 at its relaxed geometry, computed with GGA-PBE.

Properties
relative energy among the computed polymorphs	0	meV/atom
DFT formation energy	0.138	eV/atom
D(E_F)	20.70	states/eV/f.u.
space group	C2/m

Cell: 9.0904 9.0904 6.2209 Å, 107.59 107.59 82.04°
Sites, in units of the cell vectors:
La  0.0827  0.0827  0.2454
La  0.0995  0.5737  0.8441
La  0.3624  0.3624  0.3878
La  0.4263  0.9005  0.1559
La  0.5737  0.0995  0.8441
La  0.6376  0.6376  0.6122
La  0.9005  0.4263  0.1559
La  0.9173  0.9173  0.7546
Pr  0.1883  0.1883  0.8343
Pr  0.8117  0.8117  0.1657
Dy  0.2339  0.7661  0.5000
Dy  0.5000  0.5000  0.0000
Dy  0.7661  0.2339  0.5000

Record 2
Crystalline NpSbPt at its relaxed geometry, computed with GGA-PBE.

Properties
energy relative to the elements, uncorrected	-0.452	eV per atom
D(E_F)	8.78	states/eV/f.u.
space group	P6_3mc

Cell: 4.4837 4.4837 8.5788 Å, 90.00 90.00 120.00°
Sites, in units of the cell vectors:
Np  0.3333  0.6667  0.0000
Np  0.6667  0.3333  0.5000
Sb  0.0000  0.0000  0.2404
Sb  0.0000  0.0000  0.7404
Pt  0.3333  0.6667  0.3433
Pt  0.6667  0.3333  0.8433

Record 3
Crystalline CaYH2 at its relaxed geometry, computed with GGA-PBE.

Properties
relative energy among the computed polymorphs	0	meV/atom
D(E_F)	1.84	states/eV/f.u.
space group	I-42d

Cell: 6.4731 6.4731 6.4731 Å, 131.80 131.80 70.55°
Sites, in units of the cell vectors:
Ca  0.0000  0.0000  0.0000
Ca  0.7500  0.2500  0.5000
Y  0.2500  0.7500  0.5000
Y  0.5000  0.5000  0.0000
H  0.1589  0.6250  0.0339
H  0.3750  0.4089  0.5339
H  0.5911  0.1250  0.9661
H  0.8750  0.8411  0.4661

Record 4
Crystalline GdScTi at its relaxed geometry, computed with GGA-PBE.

Properties
relative energy among the computed polymorphs	0	meV/atom
DFT formation energy	0.166	eV/atom
D(E_F)	4.86	states/eV/f.u.
space group	I4mm

Cell: 7.3182 7.3182 7.3182 Å, 154.55 154.55 36.31°
Sites, in units of the cell vectors:
Gd  0.0000  0.0000  0.0000
Sc  0.3045  0.3045  0.0000
Ti  0.6634  0.6634  0.0000

Record 5
Crystalline Cs2GaCoPb at its relaxed geometry, computed with GGA-PBE.

Properties
DFT formation energy	0.586	eV/atom
D(E_F)	3.81	states/eV/f.u.
space group	P4/mmm

Cell: 7.0902 7.0902 4.5816 Å, 90.00 90.00 90.00°
Sites, in units of the cell vectors:
Cs  0.0000  0.5000  0.0000
Cs  0.5000  0.0000  0.0000
Ga  0.0000  0.0000  0.0000
Co  0.0000  0.0000  0.5000
Pb  0.5000  0.5000  0.5000

Record 6
Crystalline TiRe2Cl at its relaxed geometry, computed with GGA-PBE.

Properties
relative energy among the computed polymorphs	0	meV/atom
energy relative to the elements, uncorrected	0.945	eV per atom
D(E_F)	4.51	states/eV/f.u.
space group	I-42d

Cell: 5.7245 5.7245 5.7245 Å, 100.04 100.04 130.65°
Sites, in units of the cell vectors:
Ti  0.0000  0.0000  0.0000
Ti  0.7500  0.2500  0.5000
Re  0.2032  0.6250  0.0782
Re  0.3750  0.4532  0.5782
Re  0.5468  0.1250  0.9218
Re  0.8750  0.7968  0.4218
Cl  0.2500  0.7500  0.5000
Cl  0.5000  0.5000  0.0000

Record 7
Crystalline LaFe3Co at its relaxed geometry, computed with GGA-PBE.

Properties
relative energy among the computed polymorphs	1594	meV/atom
DFT formation energy	2.053	eV/atom
D(E_F)	8.79	states/eV/f.u.
space group	Pm-3m

Cell: 4.5073 4.5073 4.5073 Å, 90.00 90.00 90.00°
Sites, in units of the cell vectors:
La  0.0000  0.0000  0.0000
Fe  0.0000  0.0000  0.5000
Fe  0.0000  0.5000  0.0000
Fe  0.5000  0.0000  0.0000
Co  0.5000  0.5000  0.5000

Record 8
Crystalline Na2MgCu2H6 at its relaxed geometry, computed with GGA-PBE.

Properties
space group	C2/m
E	-3.04	eV/atom

Cell: 5.2021 5.2021 5.8471 Å, 112.82 112.82 60.37°
Sites, in units of the cell vectors:
Na  0.2060  0.2060  0.1747
Na  0.7940  0.7940  0.8253
Mg  0.0000  0.0000  0.5000
Cu  0.4471  0.4471  0.7383
Cu  0.5529  0.5529  0.2617
H  0.1902  0.7165  0.2119
H  0.2475  0.2475  0.6299
H  0.2835  0.8098  0.7881
H  0.7165  0.1902  0.2119
H  0.7525  0.7525  0.3701
H  0.8098  0.2835  0.7881

Record 9
Crystalline YInCuIr at its relaxed geometry, computed with GGA-PBE.

Properties
DFT formation energy	-0.370	eV/atom
D(E_F)	3.17	states/eV/f.u.
space group	F-43m

Cell: 4.7388 4.7388 4.7388 Å, 60.00 60.00 60.00°
Sites, in units of the cell vectors:
Y  0.0000  0.0000  0.0000
In  0.5000  0.5000  0.5000
Cu  0.7500  0.7500  0.7500
Ir  0.2500  0.2500  0.2500

Record 10
Crystalline La3Sm3Ag4 at its relaxed geometry, computed with GGA-PBE.

Properties
DFT formation energy	-0.185	eV/atom
D(E_F)	11.84	states/eV/f.u.
space group	Amm2

Cell: 3.9203 8.6187 8.6187 Å, 90.87 90.00 90.00°
Sites, in units of the cell vectors:
La  0.0000  0.0000  0.0000
La  0.0000  0.4933  0.8356
La  0.0000  0.8356  0.4933
Sm  0.0000  0.3403  0.3403
Sm  0.5000  0.1655  0.6641
Sm  0.5000  0.6641  0.1655
Ag  0.5000  0.0506  0.2950
Ag  0.5000  0.2950  0.0506
Ag  0.5000  0.5399  0.5399
Ag  0.5000  0.7905  0.7905

Record 11
Crystalline LiDyCuS2 at its relaxed geometry, computed with GGA-PBE.

Properties
energy relative to the elements, uncorrected	-1.024	eV per atom
D(E_F)	2.33	states/eV/f.u.
space group	Pccm

Cell: 5.2676 5.6502 7.0622 Å, 90.00 90.00 90.00°
Sites, in units of the cell vectors:
Li  0.0000  0.0000  0.2500
Li  0.0000  0.0000  0.7500
Dy  0.5000  0.5000  0.2500
Dy  0.5000  0.5000  0.7500
Cu  0.0000  0.5000  0.0000
Cu  0.0000  0.5000  0.5000
S  0.2723  0.2108  0.0000
S  0.2723  0.7892  0.5000
S  0.7277  0.2108  0.5000
S  0.7277  0.7892  0.0000

Record 12
Crystalline NiTe4Ir at its relaxed geometry, computed with GGA-PBE.

Properties
relative energy among the computed polymorphs	164	meV/atom
energy relative to the elements, uncorrected	-0.084	eV per atom
D(E_F)	3.10	states/eV/f.u.
space group	C2/c

Cell: 8.7126 8.7126 6.0667 Å, 110.28 110.28 119.40°
Sites, in units of the cell vectors:
Ni  0.0707  0.9293  0.7500
Ni  0.9293  0.0707  0.2500
Te  0.0227  0.6234  0.3409
Te  0.2207  0.3160  0.2053
Te  0.3160  0.2207  0.7053
Te  0.3766  0.9773  0.1591
Te  0.6234  0.0227  0.8409
Te  0.6840  0.7793  0.2947
Te  0.7793  0.6840  0.7947
Te  0.9773  0.3766  0.6591
Ir  0.3216  0.6784  0.2500
Ir  0.6784  0.3216  0.7500